[1]
A plane-wave DFT calculation with GGA-PBE was carried out for a geometry-optimized Tl2NiRhSe2 structure.

extended XYZ file:
```
12
Lattice="-3.010 7.747 2.990 3.010 -7.747 2.990 3.010 7.747 -2.990" Properties=species:S:1:pos:R:3 pbc="T T T"
Tl 1.376 2.587 0.000
Tl 1.376 -2.587 2.990
Tl 1.634 10.334 0.000
Tl 1.634 5.160 2.990
Ni 3.010 0.000 1.495
Ni 0.000 7.747 1.495
Rh 0.000 0.000 1.495
Rh 0.000 0.000 4.485
Se 4.394 1.251 0.000
Se 1.384 6.496 0.000
Se 1.626 1.251 2.990
Se -1.384 6.496 2.990
```

Output
E_form (uncorrected) ... -0.187 eV per atom
DOS(E_F) ... 0.98 states/eV per atom
Space-group type ... Ibam


[2]
A plane-wave DFT calculation with GGA-PBE was carried out for a geometry-optimized TlNiRhSe3 structure.

extended XYZ file:
```
12
Lattice="8.010 0.000 0.000 0.000 3.735 0.000 -3.715 0.000 9.000" Properties=species:S:1:pos:R:3 pbc="T T T"
Tl -0.914 0.934 2.668
Tl 5.208 2.802 6.333
Ni 2.365 2.802 3.479
Ni 1.929 0.934 5.521
Rh 3.186 0.934 1.444
Rh 1.108 2.802 7.556
Se 1.419 2.802 1.384
Se 0.581 2.802 5.023
Se -0.551 0.934 7.930
Se 4.845 2.802 1.071
Se 3.713 0.934 3.977
Se 2.875 0.934 7.616
```

Output
E_form (uncorrected) ... -0.350 eV per atom
DOS(E_F) ... 0.50 states/eV per atom
Space-group type ... P2_1/m


[3]
A plane-wave DFT calculation with GGA-PBE was carried out for a geometry-optimized ZrNiRh2Se structure.

extended XYZ file:
```
5
Lattice="4.513 0.000 0.000 0.000 4.513 0.000 0.000 0.000 4.951" Properties=species:S:1:pos:R:3 pbc="T T T"
Zr 0.000 0.000 0.000
Ni 2.256 2.256 0.000
Rh 0.000 2.256 2.476
Rh 2.256 0.000 2.476
Se 0.000 0.000 2.476
```

Output
E_form (uncorrected) ... 0.494 eV per atom
DOS(E_F) ... 1.16 states/eV per atom
Space-group type ... P4/mmm


[4]
A plane-wave DFT calculation with GGA-PBE was carried out for a geometry-optimized SiNi3Rh4 structure.

extended XYZ file:
```
8
Lattice="-1.962 1.962 6.627 1.962 -1.962 6.627 1.962 1.962 -6.627" Properties=species:S:1:pos:R:3 pbc="T T T"
Si 0.000 0.000 0.000
Ni 0.000 0.000 3.355
Ni 0.000 0.000 6.627
Ni 0.000 0.000 9.900
Rh 1.962 0.000 1.584
Rh 1.962 0.000 5.044
Rh 0.000 1.962 1.584
Rh 0.000 1.962 5.044
```

Output
E_form (uncorrected) ... -0.194 eV per atom
DOS(E_F) ... 1.20 states/eV per atom
Space-group type ... I4/mmm


[5]
A plane-wave DFT calculation with GGA-PBE was carried out for a geometry-optimized Si2NiRh4 structure.

extended XYZ file:
```
7
Lattice="2.038 1.177 6.654 -2.038 1.177 6.654 0.000 -2.353 6.654" Properties=species:S:1:pos:R:3 pbc="T T T"
Si 0.000 0.000 4.957
Si 0.000 0.000 15.005
Ni 0.000 0.000 0.000
Rh 0.000 0.000 2.522
Rh 0.000 0.000 7.530
Rh 0.000 0.000 12.432
Rh 0.000 0.000 17.440
```

Output
E_form (uncorrected) ... -0.581 eV per atom
DOS(E_F) ... 0.83 states/eV per atom
Space-group type ... R-3m


[6]
A plane-wave DFT calculation with GGA-PBE was carried out for a geometry-optimized Si2Ni2Rh structure.

extended XYZ file:
```
10
Lattice="6.502 0.000 0.000 0.000 6.502 0.000 0.000 0.000 2.846" Properties=species:S:1:pos:R:3 pbc="T T T"
Si 0.989 2.262 0.000
Si 2.262 5.513 0.000
Si 4.240 0.989 0.000
Si 5.513 4.240 0.000
Ni 0.907 4.158 1.423
Ni 2.344 0.907 1.423
Ni 4.158 5.595 1.423
Ni 5.595 2.344 1.423
Rh 0.000 0.000 0.000
Rh 3.251 3.251 0.000
```

Output
E_form (uncorrected) ... -0.555 eV per atom
DOS(E_F) ... 0.56 states/eV per atom
Space-group type ... P4/mbm


[7]
A plane-wave DFT calculation with GGA-PBE was carried out for a geometry-optimized SiNiRh3 structure.

extended XYZ file:
```
5
Lattice="4.431 0.000 0.000 0.000 4.431 0.000 0.000 0.000 4.431" Properties=species:S:1:pos:R:3 pbc="T T T"
Si 0.000 0.000 0.000
Ni 2.216 2.216 2.216
Rh 0.000 2.216 2.216
Rh 2.216 0.000 2.216
Rh 2.216 2.216 0.000
```

Output
E_form (uncorrected) ... 1.106 eV per atom
DOS(E_F) ... 1.92 states/eV per atom
Space-group type ... Pm-3m
Excess energy over the best structure of this formula in the dataset ... 605 meV/atom


[8]
A plane-wave DFT calculation with GGA-PBE was carried out for a geometry-optimized SiNi6Rh structure.

extended XYZ file:
```
32
Lattice="3.556 -5.045 0.000 3.556 5.045 0.000 0.000 0.000 10.094" Properties=species:S:1:pos:R:3 pbc="T T T"
Si 0.000 0.000 2.509
Si 0.000 0.000 7.585
Si 3.556 2.479 0.000
Si 3.556 -2.479 0.000
Ni 0.000 0.000 0.000
Ni 0.000 0.000 5.047
Ni 1.746 1.276 1.221
Ni 1.746 1.276 8.873
Ni 1.728 1.244 3.735
Ni 1.728 1.244 6.359
Ni 3.556 2.552 2.452
Ni 3.556 2.552 7.643
Ni 1.728 -1.244 3.735
Ni 1.728 -1.244 6.359
Ni 1.746 -1.276 1.221
Ni 1.746 -1.276 8.873
Ni 3.556 0.000 0.000
Ni 3.556 0.000 5.047
Ni 5.366 1.276 1.221
Ni 5.366 1.276 8.873
Ni 5.384 1.244 3.735
Ni 5.384 1.244 6.359
Ni 3.556 -2.552 2.452
Ni 3.556 -2.552 7.643
Ni 5.384 -1.244 3.735
Ni 5.384 -1.244 6.359
Ni 5.366 -1.276 1.221
Ni 5.366 -1.276 8.873
Rh 3.556 2.493 5.047
Rh 3.556 0.000 2.528
Rh 3.556 0.000 7.567
Rh 3.556 -2.493 5.047
```

Output
E_form (uncorrected) ... -0.182 eV per atom
DOS(E_F) ... 1.56 states/eV per atom
Space-group type ... Cmmm


[9]
A plane-wave DFT calculation with GGA-PBE was carried out for a geometry-optimized Si2Ni3Rh structure.

extended XYZ file:
```
12
Lattice="3.642 0.000 0.000 0.000 6.987 0.000 0.000 0.000 5.578" Properties=species:S:1:pos:R:3 pbc="T T T"
Si 0.000 0.844 0.000
Si 0.000 6.143 2.789
Si 1.821 2.625 2.828
Si 1.821 4.362 0.039
Ni 0.000 1.303 2.243
Ni 0.000 5.684 5.032
Ni 1.821 0.501 3.977
Ni 1.821 2.101 0.610
Ni 1.821 4.886 3.399
Ni 1.821 6.486 1.188
Rh 0.000 2.978 4.413
Rh 0.000 4.008 1.624
```

Output
E_form (uncorrected) ... -0.636 eV per atom
DOS(E_F) ... 0.34 states/eV per atom
Space-group type ... Pmc2_1


[10]
A plane-wave DFT calculation with GGA-PBE was carried out for a geometry-optimized Si2Ni2Rh structure.

extended XYZ file:
```
10
Lattice="6.679 0.000 0.000 0.000 6.679 0.000 0.000 0.000 2.666" Properties=species:S:1:pos:R:3 pbc="T T T"
Si 1.145 2.195 0.000
Si 2.195 5.534 0.000
Si 4.484 1.145 0.000
Si 5.534 4.484 0.000
Ni 0.854 4.193 1.333
Ni 2.485 0.854 1.333
Ni 4.193 5.825 1.333
Ni 5.825 2.485 1.333
Rh 0.000 0.000 1.333
Rh 3.339 3.339 1.333
```

Output
E_form (uncorrected) ... -0.419 eV per atom
DOS(E_F) ... 0.21 states/eV per atom
Space-group type ... P4/mbm


[11]
A plane-wave DFT calculation with GGA-PBE was carried out for a geometry-optimized Si2NiRh2 structure.

extended XYZ file:
```
10
Lattice="6.858 0.000 0.000 0.000 6.858 0.000 0.000 0.000 2.798" Properties=species:S:1:pos:R:3 pbc="T T T"
Si 1.045 2.384 0.000
Si 2.384 5.813 0.000
Si 4.473 1.045 0.000
Si 5.813 4.473 0.000
Ni 0.000 0.000 0.000
Ni 3.429 3.429 0.000
Rh 1.006 4.435 1.399
Rh 2.423 1.006 1.399
Rh 4.435 5.852 1.399
Rh 5.852 2.423 1.399
```

Output
E_form (uncorrected) ... -0.577 eV per atom
DOS(E_F) ... 0.53 states/eV per atom
Space-group type ... P4/mbm


[12]
A plane-wave DFT calculation with GGA-PBE was carried out for a geometry-optimized SiNiRh3 structure.

extended XYZ file:
```
5
Lattice="4.371 0.000 0.000 0.000 4.371 0.000 0.000 0.000 4.371" Properties=species:S:1:pos:R:3 pbc="T T T"
Si 0.000 0.000 0.000
Ni 2.186 2.186 2.186
Rh 0.000 0.000 2.186
Rh 0.000 2.186 0.000
Rh 2.186 0.000 0.000
```

Output
E_form (uncorrected) ... 0.501 eV per atom
DOS(E_F) ... 1.41 states/eV per atom
Space-group type ... Pm-3m
Excess energy over the best structure of this formula in the dataset ... 0 meV/atom


Number 1: raw total energy -4.33 eV/atom, calculated volume 278.8 Å³/cell. Number 2: raw total energy -4.68 eV/atom, calculated volume 269.3 Å³/cell. Number 3: raw total energy -6.01 eV/atom, calculated volume 100.8 Å³/cell. Number 4: raw total energy -6.72 eV/atom, calculated volume 102.1 Å³/cell. Number 5: raw total energy -7.16 eV/atom, calculated volume 95.7 Å³/cell. Number 6: raw total energy -6.51 eV/atom, calculated volume 120.3 Å³/cell. Number 7: raw total energy -5.55 eV/atom, calculated volume 87.0 Å³/cell. Number 8: raw total energy -6.11 eV/atom, calculated volume 362.1 Å³/cell. Number 9: raw total energy -6.56 eV/atom, calculated volume 141.9 Å³/cell. Number 10: raw total energy -6.37 eV/atom, calculated volume 118.9 Å³/cell. Number 11: raw total energy -6.84 eV/atom, calculated volume 131.6 Å³/cell. Number 12: raw total energy -6.15 eV/atom, calculated volume 83.5 Å³/cell.